Version i
Crystalline Er2Lu5Te2Pd2 at its relaxed geometry, computed with PBE.

Calculated values
Crystal system: orthorhombic

Lattice parameters (Å, degrees): 3.889 15.392 9.527 90.00 90.00 90.00
Space group Imm2 (No. 44)
Symmetry-distinct sites (fractional):
1 Er 0.000 0.183 0.000 [4 per cell]
2 Lu 0.000 0.143 0.360 [4 per cell]
3 Lu 0.000 0.369 0.210 [4 per cell]
4 Lu 0.000 0.500 0.627 [2 per cell]
5 Te 0.000 0.000 0.859 [2 per cell]
6 Te 0.000 0.500 0.966 [2 per cell]
7 Pd 0.000 0.263 0.697 [4 per cell]


Version ii
Crystalline Er2Lu5Te2Pd2 at its relaxed geometry, computed with PBE.

Calculated values
Crystal system: orthorhombic

Lattice parameters (Å, degrees): 3.901 15.378 9.514 90.00 90.00 90.00
Space group Imm2 (No. 44)
Symmetry-distinct sites (fractional):
1 Er 0.000 0.144 0.000 [4 per cell]
2 Lu 0.000 0.183 0.361 [4 per cell]
3 Lu 0.000 0.369 0.151 [4 per cell]
4 Lu 0.000 0.500 0.734 [2 per cell]
5 Te 0.000 0.000 0.501 [2 per cell]
6 Te 0.000 0.500 0.395 [2 per cell]
7 Pd 0.000 0.263 0.666 [4 per cell]


Verdict on stability: version ii comes out on top.


Version i
Crystalline Er3Lu3Te2Pt at its relaxed geometry, computed with PBE.

Calculated values
Crystal system: hexagonal

Lattice parameters (Å, degrees): 8.2638 8.2638 3.9272 90.00 90.00 120.00
Space group P-62m (No. 189)
Symmetry-distinct sites (fractional):
1 Er 0.0000 0.6021 0.0000 [3 per cell]
2 Lu 0.0000 0.2431 0.5000 [3 per cell]
3 Te 0.3333 0.6667 0.5000 [2 per cell]
4 Pt 0.0000 0.0000 0.0000 [1 per cell]


Version ii
Crystalline Er3Lu3Te2Pt at its relaxed geometry, computed with PBE.

Calculated values
Crystal system: hexagonal

Lattice parameters (Å, degrees): 8.3153 8.3153 3.8849 90.00 90.00 120.00
Space group P-62m (No. 189)
Symmetry-distinct sites (fractional):
1 Er 0.0000 0.2476 0.0000 [3 per cell]
2 Lu 0.0000 0.6029 0.5000 [3 per cell]
3 Te 0.3333 0.6667 0.0000 [2 per cell]
4 Pt 0.0000 0.0000 0.5000 [1 per cell]


Verdict on stability: version i comes out on top.


Version i
Crystalline ErLuSn at its relaxed geometry, computed with PBE.

Calculated values
Crystal system: cubic

Lattice parameters (Å, degrees): 7.277 7.277 7.277 90.00 90.00 90.00
Space group F-43m (No. 216)
Symmetry-distinct sites (fractional):
1 Er 0.000 0.000 0.000 [4 per cell]
2 Lu 0.250 0.250 0.250 [4 per cell]
3 Sn 0.000 0.000 0.500 [4 per cell]


Version ii
Crystalline ErLuSn at its relaxed geometry, computed with PBE.

Calculated values
Crystal system: hexagonal

Lattice parameters (Å, degrees): 8.1852 8.1852 4.3013 90.00 90.00 120.00
Space group P-62m (No. 189)
Symmetry-distinct sites (fractional):
1 Er 0.0000 0.2671 0.0000 [3 per cell]
2 Lu 0.0000 0.6000 0.5000 [3 per cell]
3 Sn 0.0000 0.0000 0.5000 [1 per cell]
4 Sn 0.3333 0.6667 0.0000 [2 per cell]


Verdict on stability: version ii comes out on top.


Version i
Crystalline ErLuTlTe3 at its relaxed geometry, computed with PBE.

Calculated values
Crystal system: orthorhombic

Lattice parameters (Å, degrees): 4.357 15.265 11.867 90.00 90.00 90.00
Space group Cmcm (No. 63)
Symmetry-distinct sites (fractional):
1 Er 0.000 0.065 0.250 [4 per cell]
2 Lu 0.000 0.500 0.000 [4 per cell]
3 Tl 0.000 0.255 0.750 [4 per cell]
4 Te 0.000 0.140 0.025 [8 per cell]
5 Te 0.000 0.433 0.250 [4 per cell]


Version ii
Crystalline ErLuTlTe3 at its relaxed geometry, computed with PBE.

Calculated values
Crystal system: orthorhombic

Lattice parameters (Å, degrees): 4.382 15.303 11.890 90.00 90.00 90.00
Space group Cmcm (No. 63)
Symmetry-distinct sites (fractional):
1 Er 0.000 0.000 0.000 [4 per cell]
2 Lu 0.000 0.439 0.250 [4 per cell]
3 Tl 0.000 0.245 0.750 [4 per cell]
4 Te 0.000 0.066 0.250 [4 per cell]
5 Te 0.000 0.359 0.030 [8 per cell]


Verdict on stability: version ii comes out on top.